Below is SrTa2Cu after structural relaxation, with properties calculated at the GGA-PBEsol level.

a = 6.7392 Å, b = 6.7392 Å, c = 6.7392 Å
α = 90.00°, β = 90.00°, γ = 90.00°
Fractional coordinates of all 16 atoms:
Sr 0.0000 0.0000 0.0000
Sr 0.0000 0.5000 0.5000
Sr 0.5000 0.0000 0.5000
Sr 0.5000 0.5000 0.0000
Ta 0.0000 0.0000 0.5000
Ta 0.0000 0.5000 0.0000
Ta 0.2500 0.2500 0.2500
Ta 0.2500 0.7500 0.7500
Ta 0.5000 0.0000 0.0000
Ta 0.5000 0.5000 0.5000
Ta 0.7500 0.2500 0.7500
Ta 0.7500 0.7500 0.2500
Cu 0.2500 0.2500 0.7500
Cu 0.2500 0.7500 0.2500
Cu 0.7500 0.2500 0.2500
Cu 0.7500 0.7500 0.7500

Properties
Space group   F-43m (216)
Energy above the most stable polymorph in this dataset   415 meV per atom
Density   11.13 g/cm3
Total DFT energy (no corrections)   -27.73 eV per formula unit
Magnetic moment   0.00 μB/atom